Entry a
## VCuNF2 (GGA+U)

Data for a relaxed VCuNF2 crystal.

Cell: 3.964 3.964 3.829 Å, 90.00 90.00 90.00°
Fractional positions:
1 N 0.000 0.000 0.500
2 F 0.000 0.500 0.000
3 F 0.500 0.000 0.000
4 Cu 0.500 0.500 0.500
5 V 0.000 0.000 0.000

Computed properties:
Space group ... P4/mmm (123)
Total moment ... 1.0 μB per cell


Entry b
## VCuNF2 (GGA+U)

Data for a relaxed VCuNF2 crystal.

Cell: 4.017 4.017 3.761 Å, 90.00 90.00 90.00°
Fractional positions:
1 N 0.000 0.000 0.500
2 F 0.000 0.500 0.000
3 F 0.500 0.000 0.000
4 Cu 0.000 0.000 0.000
5 V 0.500 0.500 0.500

Computed properties:
Space group ... P4/mmm (123)
Total moment ... 1.7 μB per cell


Least stable = entry b


Entry a
## VCuN2F (GGA+U)

Data for a relaxed VCuN2F crystal.

Cell: 3.800 3.800 3.873 Å, 90.00 90.00 90.00°
Fractional positions:
1 N 0.000 0.500 0.000
2 N 0.500 0.000 0.000
3 F 0.000 0.000 0.500
4 Cu 0.500 0.500 0.500
5 V 0.000 0.000 0.000

Computed properties:
Space group ... P4/mmm (123)
Total moment ... 0.0 μB per cell


Entry b
## VCuN2F (GGA+U)

Data for a relaxed VCuN2F crystal.

Cell: 3.791 3.791 3.718 Å, 90.00 90.00 90.00°
Fractional positions:
1 N 0.000 0.500 0.000
2 N 0.500 0.000 0.000
3 F 0.000 0.000 0.500
4 Cu 0.000 0.000 0.000
5 V 0.500 0.500 0.500

Computed properties:
Space group ... P4/mmm (123)
Total moment ... 1.7 μB per cell


Least stable = entry b


Entry a
## CuWN2F (GGA+U)

Data for a relaxed CuWN2F crystal.

Cell: 3.979 3.979 4.091 Å, 90.00 90.00 90.00°
Fractional positions:
1 N 0.000 0.500 0.000
2 N 0.500 0.000 0.000
3 Cu 0.500 0.500 0.500
4 W 0.000 0.000 0.000
5 F 0.000 0.000 0.500

Computed properties:
Space group ... P4/mmm (123)
Total moment ... 0.3 μB per cell


Entry b
## CuWN2F (GGA+U)

Data for a relaxed CuWN2F crystal.

Cell: 3.878 3.878 3.585 Å, 90.00 90.00 90.00°
Fractional positions:
1 N 0.000 0.500 0.000
2 N 0.500 0.000 0.000
3 Cu 0.000 0.000 0.000
4 W 0.500 0.500 0.500
5 F 0.000 0.000 0.500

Computed properties:
Space group ... P4/mmm (123)
Total moment ... 2.0 μB per cell


Least stable = entry b